# PBE Ce2Pm2Tl, optimized geometry
# electronic total energy = -4.56 eV per atom
# total magnetization = 0.00 μB per cell
# calculated density = 8.25 Mg/m³
# formation energy from the elements = 0.19 eV/atom
# density of states at the Fermi level = 18.71 states/eV per cell
data_Ce2Pm2Tl
_cell_length_a 3.8453
_cell_length_b 3.8453
_cell_length_c 21.0880
_cell_angle_alpha 90.00
_cell_angle_beta 90.00
_cell_angle_gamma 90.00
_space_group_name_H-M_alt 'I 4/m m m'
_space_group_IT_number 139
_space_group_name_Hall '-I 4 2'
loop_
_atom_site_label
_atom_site_type_symbol
_atom_site_fract_x
_atom_site_fract_y
_atom_site_fract_z
Ce1 Ce 0.0000 0.5000 0.2500
Pm1 Pm 0.0000 0.0000 0.0941
Tl1 Tl 0.0000 0.0000 0.5000